DFT (GGA-PBE) results for Nd2ZrTiIr2 after structural relaxation.

## Properties
Formation energy = -648 meV per atom
DOS at the Fermi energy = 1.087 states/eV per atom
Magnetization = 0.0000 μB per atom

a = 6.475 Å, b = 6.443 Å, c = 8.127 Å
α = 113.35°, β = 113.47°, γ = 90.00°
Positions (direct):
Nd1 0.460 0.183 0.366
Nd2 0.540 0.817 0.634
Nd3 0.094 0.317 0.634
Nd4 0.906 0.683 0.366
Zr1 0.000 0.750 0.000
Zr2 0.000 0.250 0.000
Ti1 0.500 0.750 0.000
Ti2 0.500 0.250 0.000
Ir1 0.832 0.099 0.198
Ir2 0.366 0.599 0.198
Ir3 0.634 0.401 0.802
Ir4 0.168 0.901 0.802